Below is ZrAlPd2N after structural relaxation, with properties calculated at the PBE-GGA level.

The formation energy from raw total energies comes out at -37 kJ/mol of atoms. The density of states at the Fermi level comes out at 3.00 states/eV per cell.

The structure belongs to space group P4/mmm (No. 123); the cell edges are 4.270, 4.270 and 4.290 Å and the angles 90.00°, 90.00° and 90.00°. The inequivalent atoms are Zr at (0.000, 0.000, 0.000), Al at (0.500, 0.500, 0.000), Pd at (0.000, 0.500, 0.500) and N at (0.000, 0.000, 0.500).

Below is ReWN3 after structural relaxation, with properties calculated at the PBE-GGA level.

The formation energy from raw total energies comes out at 126 kJ/mol of atoms. The density of states at the Fermi level comes out at 3.81 states/eV per cell.

The structure belongs to space group Pm-3m (No. 221); the cell edges are 3.841, 3.841 and 3.841 Å and the angles 90.00°, 90.00° and 90.00°. The inequivalent atoms are Re at (0.000, 0.000, 0.000), W at (0.500, 0.500, 0.500) and N at (0.000, 0.000, 0.500).

Below is BaMnSnRh2 after structural relaxation, with properties calculated at the PBE-GGA level.

The density of states at the Fermi level comes out at 6.55 states/eV per cell. As for the energy relative to the elements: 1.44 eV per atom.

The structure belongs to space group P4/mmm (No. 123); the cell edges are 4.928, 4.928 and 6.120 Å and the angles 90.00°, 90.00° and 90.00°. The inequivalent atoms are Ba at (0.000, 0.000, 0.000), Mn at (0.500, 0.500, 0.000), Sn at (0.000, 0.000, 0.500) and Rh at (0.000, 0.500, 0.500).

For the records above, the corresponding M_tot values read 0.00; 0.00; 0.01 μB/cell.